[1]
Crystalline TcMoPt at its relaxed geometry. Source: the Alexandria database, functional GGA-PBE.

Results
- Calculated density: 13.93 g/cm³
- Volume: 46 Å³/cell
- SG: P-6m2

abc: 4.434 4.434 2.724
angles: 90.00 90.00 120.00
Element x y z (fractional)
1 Tc 0.000 0.000 0.000
2 Mo 0.333 0.667 0.000
3 Pt 0.667 0.333 0.500

---

[2]
Crystalline TcMoPt4 at its relaxed geometry. Source: the Alexandria database, functional GGA-PBE.

Results
- Calculated density: 17.54 g/cm³
- Volume: 92 Å³/cell
- SG: P4/mmm

abc: 2.772 2.772 12.006
angles: 90.00 90.00 90.00
Element x y z (fractional)
1 Tc 0.000 0.000 0.000
2 Mo 0.500 0.500 0.500
3 Pt 0.000 0.000 0.338
4 Pt 0.000 0.000 0.662
5 Pt 0.500 0.500 0.157
6 Pt 0.500 0.500 0.843

---

[3]
Crystalline TcMo3Pt at its relaxed geometry. Source: the Alexandria database, functional GGA-PBE.

Results
- Calculated density: 9.77 g/cm³
- Volume: 99 Å³/cell
- SG: Pm-3m

abc: 4.623 4.623 4.623
angles: 90.00 90.00 90.00
Element x y z (fractional)
1 Tc 0.000 0.000 0.000
2 Mo 0.000 0.000 0.500
3 Mo 0.000 0.500 0.000
4 Mo 0.500 0.000 0.000
5 Pt 0.500 0.500 0.500

---

[4]
Crystalline Tc3MoPt at its relaxed geometry. Source: the Alexandria database, functional GGA-PBE.

Results
- Calculated density: 9.59 g/cm³
- Volume: 101 Å³/cell
- SG: Pm-3m

abc: 4.661 4.661 4.661
angles: 90.00 90.00 90.00
Element x y z (fractional)
1 Tc 0.000 0.000 0.500
2 Tc 0.000 0.500 0.000
3 Tc 0.500 0.000 0.000
4 Mo 0.500 0.500 0.500
5 Pt 0.000 0.000 0.000

---

[5]
Crystalline TcMoPt at its relaxed geometry. Source: the Alexandria database, functional GGA-PBE.

Results
- Calculated density: 13.76 g/cm³
- Volume: 94 Å³/cell
- SG: P-1

abc: 2.754 4.790 7.406
angles: 92.03 90.62 105.88
Element x y z (fractional)
1 Tc 0.145 0.277 0.450
2 Tc 0.855 0.723 0.550
3 Mo 0.430 0.828 0.244
4 Mo 0.570 0.172 0.756
5 Pt 0.137 0.276 0.086
6 Pt 0.863 0.724 0.914

---

[6]
Crystalline TcMo2Pt at its relaxed geometry. Source: the Alexandria database, functional GGA-PBE.

Results
- Calculated density: 12.89 g/cm³
- Volume: 62 Å³/cell
- SG: P4mm

abc: 3.299 3.299 5.740
angles: 90.00 90.00 90.00
Element x y z (fractional)
1 Tc 0.000 0.000 0.000
2 Mo 0.000 0.000 0.487
3 Mo 0.500 0.500 0.224
4 Pt 0.500 0.500 0.726

---

| no. | offset from the most stable computed form (eV/atom) | ΔH_f (0 K) (meV per atom) | final energy (eV per atom) |
| --- | --- | --- | --- |
| 1 | 0.102 | -5 | -9.084 |
| 2 | 0.000 | -257 | -7.817 |
| 3 | 0.000 | 1522 | -8.258 |
| 4 | 0.474 | 2208 | -7.386 |
| 5 | 0.093 | -13 | -9.093 |
| 6 | 0.205 | 36 | -9.482 |